# 1
The following is a GGA-PBE calculation of a geometry-optimized LuPuTcIr structure, from Alexandria.

Cell lengths 6.7398, 6.7398, 6.7398 Å; angles 90.00, 90.00, 90.00 degrees
Space group F-43m (No. 216)
Inequivalent atoms, fractional coordinates:
Lu 0.0000 0.0000 0.0000 x4
Pu 0.0000 0.0000 0.5000 x4
Tc 0.2500 0.2500 0.7500 x4
Ir 0.2500 0.2500 0.2500 x4

Properties
The energy relative to the elements comes out at -381 meV/atom.

***

# 2
The following is a GGA-PBE calculation of a geometry-optimized LuPuTlIr structure, from Alexandria.

Cell lengths 7.1570, 7.1570, 7.1570 Å; angles 90.00, 90.00, 90.00 degrees
Space group F-43m (No. 216)
Inequivalent atoms, fractional coordinates:
Lu 0.0000 0.0000 0.0000 x4
Pu 0.0000 0.0000 0.5000 x4
Tl 0.2500 0.2500 0.7500 x4
Ir 0.2500 0.2500 0.2500 x4

Properties
The energy relative to the elements comes out at -263 meV/atom.

***

# 3
The following is a GGA-PBE calculation of a geometry-optimized SmLuIrRh structure, from Alexandria.

Cell lengths 6.8576, 6.8576, 6.8576 Å; angles 90.00, 90.00, 90.00 degrees
Space group F-43m (No. 216)
Inequivalent atoms, fractional coordinates:
Sm 0.0000 0.0000 0.0000 x4
Lu 0.0000 0.0000 0.5000 x4
Ir 0.2500 0.2500 0.2500 x4
Rh 0.2500 0.2500 0.7500 x4

Properties
The energy relative to the elements comes out at -835 meV/atom.

***

# 4
The following is a GGA-PBE calculation of a geometry-optimized TbLuIrRh structure, from Alexandria.

Cell lengths 6.7951, 6.7951, 6.7951 Å; angles 90.00, 90.00, 90.00 degrees
Space group F-43m (No. 216)
Inequivalent atoms, fractional coordinates:
Tb 0.0000 0.0000 0.0000 x4
Lu 0.0000 0.0000 0.5000 x4
Ir 0.2500 0.2500 0.2500 x4
Rh 0.2500 0.2500 0.7500 x4

Properties
The energy relative to the elements comes out at -917 meV/atom.

***

# 5
The following is a GGA-PBE calculation of a geometry-optimized LuUIrRh structure, from Alexandria.

Cell lengths 6.7938, 6.7938, 6.7938 Å; angles 90.00, 90.00, 90.00 degrees
Space group F-43m (No. 216)
Inequivalent atoms, fractional coordinates:
Lu 0.0000 0.0000 0.0000 x4
U 0.0000 0.0000 0.5000 x4
Ir 0.2500 0.2500 0.7500 x4
Rh 0.2500 0.2500 0.2500 x4

Properties
The energy relative to the elements comes out at -644 meV/atom.

***

# 6
The following is a GGA-PBE calculation of a geometry-optimized LuZrIrRh structure, from Alexandria.

Cell lengths 6.6593, 6.6593, 6.6593 Å; angles 90.00, 90.00, 90.00 degrees
Space group F-43m (No. 216)
Inequivalent atoms, fractional coordinates:
Lu 0.0000 0.0000 0.0000 x4
Zr 0.0000 0.0000 0.5000 x4
Ir 0.2500 0.2500 0.2500 x4
Rh 0.2500 0.2500 0.7500 x4

Properties
The energy relative to the elements comes out at -904 meV/atom.